A) GdNbCo2: optimized geometry, PBE-GGA.

Results
- Space-group type: P4/mmm, No. 123
- Total moment: 8.26 μB per formula unit

abc: 4.6354 4.6354 3.0482
angles: 90.00 90.00 90.00
Fractional coordinates of all 4 atoms:
Gd 0.0000 0.0000 0.0000
Nb 0.5000 0.5000 0.0000
Co 0.0000 0.5000 0.5000
Co 0.5000 0.0000 0.5000

=====

B) GdNbCo2: optimized geometry, PBE-GGA.

Results
- Space-group type: P4/mmm, No. 123
- Total moment: 7.32 μB per formula unit

abc: 3.1169 3.1169 6.8868
angles: 90.00 90.00 90.00
Fractional coordinates of all 4 atoms:
Gd 0.0000 0.0000 0.0000
Nb 0.0000 0.0000 0.5000
Co 0.5000 0.5000 0.3039
Co 0.5000 0.5000 0.6961

=====

Result of the stability comparison: A) is the least stable of them.

=====

A) GdPaCo2: optimized geometry, PBE-GGA.

Results
- Space-group type: Fm-3m, No. 225
- Total moment: 7.30 μB per formula unit

abc: 4.7156 4.7156 4.7156
angles: 60.00 60.00 60.00
Fractional coordinates of all 4 atoms:
Gd 0.0000 0.0000 0.0000
Pa 0.5000 0.5000 0.5000
Co 0.2500 0.2500 0.2500
Co 0.7500 0.7500 0.7500

=====

B) GdPaCo2: optimized geometry, PBE-GGA.

Results
- Space-group type: P4/mmm, No. 123
- Total moment: 7.14 μB per formula unit

abc: 3.3393 3.3393 6.8076
angles: 90.00 90.00 90.00
Fractional coordinates of all 4 atoms:
Gd 0.0000 0.0000 0.0000
Pa 0.0000 0.0000 0.5000
Co 0.5000 0.5000 0.3025
Co 0.5000 0.5000 0.6975

=====

Result of the stability comparison: A) is the least stable of them.